LiMg2Rh after structural relaxation, computed with GGA-PBEsol.

Calculated values
energy of formation from the pure elements: -326 meV per atom
uncorrected energy: -0.1364 hartree per atom
D(E_F): 0.354 states/eV per atom
theoretical density: 4.18 g/cm³

a b c (Å): 4.4634 4.4634 4.4634
angles (deg): 60.00 60.00 60.00
Fractional coordinates of all 4 atoms:
Mg1 0.2500 0.2500 0.2500
Mg2 0.7500 0.7500 0.7500
Rh1 0.0000 0.0000 0.0000
Li1 0.5000 0.5000 0.5000


LiMgRh after structural relaxation, computed with GGA-PBEsol.

Calculated values
energy of formation from the pure elements: -83 meV per atom
uncorrected energy: -0.1479 hartree per atom
D(E_F): 0.532 states/eV per atom
theoretical density: 4.76 g/cm³
ΔE to the lowest computed polymorph: 123.4 meV/atom

a b c (Å): 2.8391 2.8391 6.7009
angles (deg): 90.00 90.00 120.00
Fractional coordinates of all 3 atoms:
Li1 0.0000 0.0000 0.0317
Mg1 0.3333 0.6667 0.6383
Rh1 0.6667 0.3333 0.3300


LiMg2Rh after structural relaxation, computed with GGA-PBEsol.

Calculated values
energy of formation from the pure elements: -291 meV per atom
uncorrected energy: -0.1351 hartree per atom
D(E_F): 0.352 states/eV per atom
theoretical density: 3.88 g/cm³

a b c (Å): 3.1486 3.1486 6.8382
angles (deg): 90.00 90.00 90.00
Fractional coordinates of all 4 atoms:
Mg1 0.0000 0.0000 0.2868
Mg2 0.0000 0.0000 0.7132
Rh1 0.5000 0.5000 0.5000
Li1 0.5000 0.5000 0.0000


LiMg2Rh after structural relaxation, computed with GGA-PBEsol.

Calculated values
energy of formation from the pure elements: -281 meV per atom
uncorrected energy: -0.1347 hartree per atom
D(E_F): 0.377 states/eV per atom
theoretical density: 4.19 g/cm³

a b c (Å): 3.1369 4.4768 4.4760
angles (deg): 90.00 90.00 90.00
Fractional coordinates of all 4 atoms:
Mg1 0.0000 0.8752 0.0000
Mg2 0.0000 0.3749 0.5000
Rh1 0.5000 0.3752 0.0000
Li1 0.5000 0.8748 0.5000


LiMg2TcRh after structural relaxation, computed with GGA-PBEsol.

Calculated values
energy of formation from the pure elements: 787 meV per atom
uncorrected energy: -0.1534 hartree per atom
D(E_F): 0.929 states/eV per atom
theoretical density: 5.54 g/cm³

a b c (Å): 4.0519 4.3540 4.3540
angles (deg): 90.00 90.00 90.00
Last column: magnetic moment on the atom in μB.
Fractional coordinates of all 5 atoms:
Mg1 0.0000 0.0000 0.5000  -0.02
Mg2 0.0000 0.5000 0.0000  -0.02
Rh1 0.5000 0.0000 0.0000  0.26
Tc1 0.5000 0.5000 0.5000  1.79
Li1 0.0000 0.0000 0.0000  -0.02


LiMgRu2 after structural relaxation, computed with GGA-PBEsol.

Calculated values
energy of formation from the pure elements: 278 meV per atom
uncorrected energy: -0.2106 hartree per atom
D(E_F): 1.051 states/eV per atom
theoretical density: 6.92 g/cm³

a b c (Å): 3.5950 3.5950 5.0239
angles (deg): 110.96 110.96 90.00
Fractional coordinates of all 4 atoms:
Li1 0.5000 0.5000 0.0000
Mg1 0.0000 0.0000 0.0000
Ru1 0.7500 0.2500 0.5000
Ru2 0.2500 0.7500 0.5000


LiMgRu2 after structural relaxation, computed with GGA-PBEsol.

Calculated values
energy of formation from the pure elements: 219 meV per atom
uncorrected energy: -0.2127 hartree per atom
D(E_F): 0.823 states/eV per atom
theoretical density: 7.00 g/cm³

a b c (Å): 2.8974 4.3147 5.1347
angles (deg): 114.84 106.39 90.00
Fractional coordinates of all 4 atoms:
Li1 0.5000 0.0000 0.0000
Mg1 0.0000 0.5000 0.0000
Ru1 0.7545 0.7545 0.5091
Ru2 0.2455 0.2455 0.4909


LiMgRu2 after structural relaxation, computed with GGA-PBEsol.

Calculated values
energy of formation from the pure elements: 114 meV per atom
uncorrected energy: -0.2166 hartree per atom
D(E_F): 0.789 states/eV per atom
theoretical density: 7.15 g/cm³

a b c (Å): 4.2470 4.2470 4.2470
angles (deg): 60.00 60.00 60.00
Fractional coordinates of all 4 atoms:
Ru1 0.0000 0.0000 0.0000
Ru2 0.7500 0.7500 0.7500
Mg1 0.2500 0.2500 0.2500
Li1 0.5000 0.5000 0.5000


LiMgRu2 after structural relaxation, computed with GGA-PBEsol.

Calculated values
energy of formation from the pure elements: 366 meV per atom
uncorrected energy: -0.2073 hartree per atom
D(E_F): 1.207 states/eV per atom
theoretical density: 6.87 g/cm³

a b c (Å): 2.5707 2.5707 8.5390
angles (deg): 90.00 90.00 90.00
Fractional coordinates of all 4 atoms:
Li1 0.5000 0.5000 0.0000
Mg1 0.5000 0.5000 0.5000
Ru1 0.0000 0.0000 0.7514
Ru2 0.0000 0.0000 0.2486


LiMgRu2 after structural relaxation, computed with GGA-PBEsol.

Calculated values
energy of formation from the pure elements: 230 meV per atom
uncorrected energy: -0.2123 hartree per atom
D(E_F): 0.970 states/eV per atom
theoretical density: 6.97 g/cm³

a b c (Å): 2.6768 4.4115 4.7585
angles (deg): 90.00 98.07 90.00
Fractional coordinates of all 4 atoms:
Li1 0.5000 0.5000 0.0000
Mg1 0.0000 0.5000 0.5000
Ru1 0.7096 0.0000 0.7661
Ru2 0.2904 0.0000 0.2339


Li3MgS after structural relaxation, computed with GGA-PBEsol.

Calculated values
uncorrected energy: -0.1083 hartree per atom
D(E_F): 0.453 states/eV per atom
theoretical density: 1.28 g/cm³

a b c (Å): 4.6498 4.6498 4.6498
angles (deg): 90.00 90.00 90.00
Fractional coordinates of all 5 atoms:
S1 0.0000 0.0000 0.0000
Mg1 0.5000 0.5000 0.5000
Li1 0.0000 0.5000 0.0000
Li2 0.0000 0.0000 0.5000
Li3 0.5000 0.0000 0.0000


LiMg2Sb after structural relaxation, computed with GGA-PBEsol.

Calculated values
uncorrected energy: -0.0959 hartree per atom
D(E_F): 0.302 states/eV per atom
theoretical density: 3.32 g/cm³

a b c (Å): 3.2708 3.2708 9.7695
angles (deg): 80.36 80.36 60.00
Fractional coordinates of all 4 atoms:
Sb1 0.5034 0.5034 0.4898
Mg1 0.9989 0.9989 0.0033
Mg2 0.7515 0.7515 0.7454
Li1 0.2462 0.2462 0.2615


Number 4 is which compound? LiMg2Rh


The lowest uncorrected energy belongs to which entry? number 8